This record from the Alexandria database describes a geometry-optimized BaAgHg2 structure. The functional is GGA-PBE.

Results
Space-group type   No. 62
E_form   -0.334 eV per atom
Energy   -26.860 eV per cell

Cell: 9.1690 8.0515 6.2510 Å, 90.00 90.00 90.00°
Fractional coordinates of all 16 atoms:
Ba (0.0476, 0.2500, 0.1287)
Ba (0.4524, 0.7500, 0.6287)
Ba (0.5476, 0.2500, 0.3713)
Ba (0.9524, 0.7500, 0.8713)
Ag (0.1044, 0.7500, 0.3703)
Ag (0.3956, 0.2500, 0.8703)
Ag (0.6044, 0.7500, 0.1297)
Ag (0.8956, 0.2500, 0.6297)
Hg (0.1817, 0.0572, 0.6090)
Hg (0.1817, 0.4428, 0.6090)
Hg (0.3183, 0.5572, 0.1090)
Hg (0.3183, 0.9428, 0.1090)
Hg (0.6817, 0.0572, 0.8910)
Hg (0.6817, 0.4428, 0.8910)
Hg (0.8183, 0.5572, 0.3910)
Hg (0.8183, 0.9428, 0.3910)